Entry from the Alexandria database: a geometry-optimized CaY2MoO6 structure (GGA+U).

Properties
energy: -8.05 eV per atom

The structure in POSCAR format:
```
CaY2MoO6
1.0
-1.5629 -4.9569 -2.4204
1.3776 -4.9381 2.4618
-4.4123 -3.2470 2.5386
Y O Ca Mo
2 6 1 1
direct
0.5259 0.5263 0.4156
0.0170 0.0275 0.9348
0.5966 0.2102 0.2501
0.1302 0.4121 0.7626
0.2211 0.9516 0.2424
0.6894 0.1372 0.7669
0.4083 0.6869 0.7738
0.9533 0.5871 0.2428
0.8028 0.8059 0.5833
0.3170 0.3169 0.0429
```

Entry from the Alexandria database: a geometry-optimized CrPdF3 structure (GGA+U).

Properties
polymorph energy (0 for the lowest one): 493 meV/atom

The structure in POSCAR format:
```
CrPdF3
1.0
-1.0119 -0.7754 4.0682
4.0723 -0.9484 0.8322
0.7536 4.0835 0.9657
F Cr Pd
3 1 1
direct
0.0000 0.5000 0.0000
0.5000 0.0000 0.0000
0.0000 0.0000 0.5000
0.5000 0.5000 0.5000
0.0000 0.0000 0.0000
```

Calculated values (μB per atom) of magnetic moment for the records, taken in order: 0.20, 0.98.